# 1
Density functional theory data (PBE-GGA) for a relaxed RbMn3Ni crystal.

Cell: 4.8545 4.8545 4.8545 Å, 90.00 90.00 90.00°
Fractional positions:
Rb 0.0000 0.0000 0.0000
Mn 0.0000 0.5000 0.5000
Mn 0.5000 0.0000 0.5000
Mn 0.5000 0.5000 0.0000
Ni 0.5000 0.5000 0.5000

Results
E_form ... 4.32 eV/f.u.
Calculated total energy ... -5.99 eV/atom

# 2
Density functional theory data (PBE-GGA) for a relaxed AlZnSb2 crystal.

Cell: 5.0986 5.0986 5.0986 Å, 60.00 60.00 60.00°
Fractional positions:
Al 0.0000 0.0000 0.0000
Zn 0.7500 0.7500 0.7500
Sb 0.2500 0.2500 0.2500
Sb 0.5000 0.5000 0.5000

Results
Raw formation energy ... 303 meV/atom
Calculated total energy ... -3.01 eV/atom

# 3
Density functional theory data (PBE-GGA) for a relaxed YAgC crystal.

Cell: 4.6374 4.6374 5.2264 Å, 90.00 90.00 94.58°
Fractional positions:
Y 0.2500 0.2500 0.0000
Y 0.7500 0.7500 0.0000
Ag 0.0000 0.5000 0.5000
Ag 0.5000 0.0000 0.5000
C 0.2500 0.7500 0.8138
C 0.7500 0.2500 0.1862

Results
E_form ... 0.74 eV/f.u.
Calculated total energy ... -5.93 eV/atom

# 4
Density functional theory data (PBE-GGA) for a relaxed Sr5ErSb4 crystal.

Cell: 10.8167 10.8167 10.8167 Å, 154.33 132.47 54.79°
Fractional positions:
Sr 0.0000 0.0000 0.0000
Sr 0.0862 0.3332 0.7529
Sr 0.4197 0.6668 0.7529
Sr 0.5803 0.3332 0.2471
Sr 0.9138 0.6668 0.2471
Er 0.5000 0.0000 0.5000
Sb 0.2650 0.5000 0.7650
Sb 0.3079 0.8079 0.5000
Sb 0.6921 0.1921 0.5000
Sb 0.7350 0.5000 0.2350

Results
Raw formation energy ... -860 meV/atom
Calculated total energy ... -3.81 eV/atom

# 5
Density functional theory data (PBE-GGA) for a relaxed ZrIrPd crystal.

Cell: 6.7747 6.7747 4.0708 Å, 90.00 90.00 147.15°
Fractional positions:
Zr 0.0945 0.9055 0.7500
Zr 0.9055 0.0945 0.2500
Ir 0.4184 0.5816 0.7500
Ir 0.5816 0.4184 0.2500
Pd 0.2504 0.7496 0.2500
Pd 0.7496 0.2504 0.7500

Results
E_form ... -2.16 eV/f.u.
Calculated total energy ... -8.25 eV/atom